[1]
# Ti6NbCo5 (GGA-PBE, relaxed)
data_Ti6NbCo5
_cell_length_a 4.2488
_cell_length_b 6.0945
_cell_length_c 7.3854
_cell_angle_alpha 114.37
_cell_angle_beta 106.76
_cell_angle_gamma 90.00
_symmetry_space_group_name_H-M 'P 1'
_symmetry_Int_Tables_number 1
_symmetry_space_group_name_Hall 'P 1'
loop_
_atom_site_label
_atom_site_fract_x
_atom_site_fract_y
_atom_site_fract_z
Ti1 0.5000 0.2581 0.0000
Ti2 0.8304 0.5765 0.6608
Ti3 0.8303 0.0843 0.6608
Ti4 0.5000 0.7419 0.0000
Ti5 0.1697 0.9157 0.3392
Ti6 0.1696 0.4235 0.3392
Nb1 0.0000 0.0000 0.0000
Co1 0.6716 0.1713 0.3427
Co2 0.6691 0.6690 0.3380
Co3 0.3309 0.3310 0.6620
Co4 0.0000 0.5000 0.0000
Co5 0.3284 0.8287 0.6573
# **Space group**: Immm (71)
# **Mass density**: 6.78 g/cm3
# **Crystal system**: orthorhombic
# **Uncorrected energy**: -96.66 eV/cell
# **DFT formation energy**: -0.307 eV/atom



[2]
# Ti4NbCo3 (GGA-PBE, relaxed)
data_Ti4NbCo3
_cell_length_a 3.0836
_cell_length_b 4.2588
_cell_length_c 8.6093
_cell_angle_alpha 90.00
_cell_angle_beta 90.00
_cell_angle_gamma 90.00
_symmetry_space_group_name_H-M 'P 1'
_symmetry_Int_Tables_number 1
_symmetry_space_group_name_Hall 'P 1'
loop_
_atom_site_label
_atom_site_fract_x
_atom_site_fract_y
_atom_site_fract_z
Ti1 0.0000 0.5000 0.2652
Ti2 0.0000 0.0000 0.5000
Ti3 0.0000 0.5000 0.7348
Ti4 0.0000 0.0000 0.0000
Nb1 0.5000 0.5000 0.0000
Co1 0.5000 0.5000 0.5000
Co2 0.5000 0.0000 0.7328
Co3 0.5000 0.0000 0.2672
# **Space group**: Pmmm (47)
# **Mass density**: 6.77 g/cm3
# **Crystal system**: orthorhombic
# **Uncorrected energy**: -65.03 eV/cell
# **DFT formation energy**: -0.257 eV/atom



[3]
# Ti2NbCo (GGA-PBE, relaxed)
data_Ti2NbCo
_cell_length_a 3.1604
_cell_length_b 4.3928
_cell_length_c 4.3928
_cell_angle_alpha 90.00
_cell_angle_beta 90.00
_cell_angle_gamma 90.00
_symmetry_space_group_name_H-M 'P 1'
_symmetry_Int_Tables_number 1
_symmetry_space_group_name_Hall 'P 1'
loop_
_atom_site_label
_atom_site_fract_x
_atom_site_fract_y
_atom_site_fract_z
Co1 0.5000 0.5000 0.5000
Ti1 0.0000 0.5000 0.0000
Ti2 0.0000 0.0000 0.5000
Nb1 0.5000 0.0000 0.0000
# **Space group**: P4/mmm (123)
# **Mass density**: 6.74 g/cm3
# **Crystal system**: tetragonal
# **ΔE to the lowest computed polymorph**: 0.365 eV per formula unit
# **Uncorrected energy**: -33.34 eV/cell
# **DFT formation energy**: -0.094 eV/atom



[4]
# Ti5Nb2Co2 (GGA-PBE, relaxed)
data_Ti5Nb2Co2
_cell_length_a 4.5527
_cell_length_b 5.7684
_cell_length_c 8.9656
_cell_angle_alpha 138.52
_cell_angle_beta 104.71
_cell_angle_gamma 90.00
_symmetry_space_group_name_H-M 'P 1'
_symmetry_Int_Tables_number 1
_symmetry_space_group_name_Hall 'P 1'
loop_
_atom_site_label
_atom_site_fract_x
_atom_site_fract_y
_atom_site_fract_z
Ti1 0.1295 0.7284 0.2591
Ti2 0.8705 0.2716 0.7409
Ti3 0.3543 0.4779 0.7085
Ti4 0.6457 0.5221 0.2915
Ti5 0.0000 0.0000 0.0000
Nb1 0.6084 0.9323 0.2169
Nb2 0.3916 0.0677 0.7831
Co1 0.8057 0.6339 0.6114
Co2 0.1943 0.3661 0.3886
# **Space group**: C2/m (12)
# **Mass density**: 6.26 g/cm3
# **Crystal system**: monoclinic
# **Uncorrected energy**: -73.57 eV/cell
# **DFT formation energy**: 0.028 eV/atom



[5]
# TiNb5Co6 (GGA-PBE, relaxed)
data_TiNb5Co6
_cell_length_a 4.2120
_cell_length_b 6.6468
_cell_length_c 7.1942
_cell_angle_alpha 62.49
_cell_angle_beta 73.05
_cell_angle_gamma 90.00
_symmetry_space_group_name_H-M 'P 1'
_symmetry_Int_Tables_number 1
_symmetry_space_group_name_Hall 'P 1'
loop_
_atom_site_label
_atom_site_fract_x
_atom_site_fract_y
_atom_site_fract_z
Co1 0.1663 0.3816 0.6676
Co2 0.1663 0.9508 0.6676
Co3 0.5000 0.7978 0.0000
Co4 0.8337 0.0492 0.3324
Co5 0.8337 0.6184 0.3324
Co6 0.5000 0.2022 0.0000
Nb1 0.3584 0.3584 0.2831
Nb2 0.3120 0.8120 0.3761
Nb3 0.6880 0.1880 0.6239
Nb4 0.6416 0.6416 0.7169
Nb5 0.0000 0.5000 0.0000
Ti1 0.0000 0.0000 0.0000
# **Space group**: C2/m (12)
# **Mass density**: 8.52 g/cm3
# **Crystal system**: monoclinic
# **Uncorrected energy**: -102.94 eV/cell
# **DFT formation energy**: -0.172 eV/atom



[6]
# Ti3NbCo (GGA-PBE, relaxed)
data_Ti3NbCo
_cell_length_a 4.8739
_cell_length_b 4.8739
_cell_length_c 8.7629
_cell_angle_alpha 106.15
_cell_angle_beta 106.15
_cell_angle_gamma 90.00
_symmetry_space_group_name_H-M 'P 1'
_symmetry_Int_Tables_number 1
_symmetry_space_group_name_Hall 'P 1'
loop_
_atom_site_label
_atom_site_fract_x
_atom_site_fract_y
_atom_site_fract_z
Ti1 0.1264 0.3740 0.2527
Ti2 0.6260 0.8736 0.7473
Ti3 0.3095 0.3095 0.6190
Ti4 0.1264 0.8788 0.2527
Ti5 0.1212 0.8736 0.7473
Ti6 0.6905 0.6905 0.3810
Co1 0.2500 0.7500 0.5000
Co2 0.0000 0.0000 0.0000
Nb1 0.9544 0.4544 0.9088
Nb2 0.5456 0.0456 0.0912
# **Space group**: I-4m2 (119)
# **Mass density**: 5.13 g/cm3
# **Crystal system**: tetragonal
# **ΔE to the lowest computed polymorph**: 3.873 eV per formula unit
# **Uncorrected energy**: -75.33 eV/cell
# **DFT formation energy**: 0.639 eV/atom



Please write out number 4 again, unchanged.
# Ti5Nb2Co2 (GGA-PBE, relaxed)
data_Ti5Nb2Co2
_cell_length_a 4.5527
_cell_length_b 5.7684
_cell_length_c 8.9656
_cell_angle_alpha 138.52
_cell_angle_beta 104.71
_cell_angle_gamma 90.00
_symmetry_space_group_name_H-M 'P 1'
_symmetry_Int_Tables_number 1
_symmetry_space_group_name_Hall 'P 1'
loop_
_atom_site_label
_atom_site_fract_x
_atom_site_fract_y
_atom_site_fract_z
Ti1 0.1295 0.7284 0.2591
Ti2 0.8705 0.2716 0.7409
Ti3 0.3543 0.4779 0.7085
Ti4 0.6457 0.5221 0.2915
Ti5 0.0000 0.0000 0.0000
Nb1 0.6084 0.9323 0.2169
Nb2 0.3916 0.0677 0.7831
Co1 0.8057 0.6339 0.6114
Co2 0.1943 0.3661 0.3886
# **Space group**: C2/m (12)
# **Mass density**: 6.26 g/cm3
# **Crystal system**: monoclinic
# **Uncorrected energy**: -73.57 eV/cell
# **DFT formation energy**: 0.028 eV/atom